No. 1
{
  "formula": "Ce8Ir5Pd",
  "functional": "PBE",
  "state": "relaxed",
  "sg": "I-4",
  "delta_e_f_ev_per_atom": -0.6899,
  "m_tot_mub_per_cell": 3.6,
  "lattice": [[7.563, 0.039, -0.068], [-2.522, 7.130, 0.068], [-2.519, -3.586, 6.165]],
  "species": ["Pd", "Ce", "Ce", "Ce", "Ce", "Ce", "Ce", "Ce", "Ce", "Ir", "Ir", "Ir", "Ir", "Ir"],
  "frac_coords": [[0.250, 0.500, 0.750], [0.123, 0.758, 0.000], [0.507, 0.632, 0.263], [0.000, 0.124, 0.758], [0.125, 0.756, 0.493], [0.631, 0.368, 0.875], [0.242, 0.242, 0.365], [0.737, 0.244, 0.369], [0.635, 0.876, 0.877], [0.871, 0.878, 0.252], [0.007, 0.381, 0.129], [0.373, 0.122, 0.993], [0.748, 0.619, 0.627], [0.500, 0.000, 0.500]]
}

No. 2
{
  "formula": "Fe3Co2",
  "functional": "PBE",
  "state": "relaxed",
  "sg": "I4/mmm",
  "delta_e_f_ev_per_atom": -0.0494,
  "m_tot_mub_per_cell": 11.4,
  "de_polymorph_mev_per_atom": 0,
  "lattice": [[7.421, 0.006, 0.000], [6.331, 3.870, 0.000], [-6.876, -1.938, 2.007]],
  "species": ["Co", "Co", "Fe", "Fe", "Fe"],
  "frac_coords": [[0.801, 0.801, 0.000], [0.999, 0.999, 0.000], [0.599, 0.599, 0.000], [0.400, 0.400, 0.000], [0.201, 0.201, 0.000]]
}

No. 3
{
  "formula": "BaZnMoP2",
  "functional": "PBE",
  "state": "relaxed",
  "sg": "P4/mmm",
  "delta_e_f_ev_per_atom": 0.6746,
  "m_tot_mub_per_cell": 3.8,
  "lattice": [[-3.226, -1.589, -3.426], [-2.342, -2.626, 3.423], [-2.941, 3.884, 0.967]],
  "species": ["Mo", "Zn", "P", "P", "Ba"],
  "frac_coords": [[0.000, 0.500, 0.000], [0.000, 0.000, 0.000], [0.500, 0.000, 0.000], [0.000, 0.000, 0.500], [0.500, 0.500, 0.500]]
}

No. 4
{
  "formula": "InMo4Pb",
  "functional": "PBE",
  "state": "relaxed",
  "sg": "F-43m",
  "delta_e_f_ev_per_atom": 0.5382,
  "m_tot_mub_per_cell": 0.0,
  "lattice": [[-3.102, -4.025, -1.862], [-1.663, -3.908, 3.354], [-5.208, -0.293, 1.443]],
  "species": ["In", "Mo", "Mo", "Mo", "Mo", "Pb"],
  "frac_coords": [[0.000, 0.000, 0.000], [0.374, 0.374, 0.374], [0.877, 0.374, 0.374], [0.374, 0.374, 0.877], [0.374, 0.877, 0.374], [0.750, 0.750, 0.750]]
}

no.,total energy (eV/atom)
1,-7.616
2,-7.969
3,-4.295
4,-7.757